#A
VASP calculation (PBE) on a relaxed Nd6HoEr3 crystal.

Results
Volume ... 33.7 Å³/atom
DOS(E_F) ... 1.40 states/eV per atom

a b c (Å): 11.122 11.122 6.355
angles (deg): 90.00 90.00 120.89
Fractional positions:
Nd (0.036, 0.964, 0.500)
Nd (0.059, 0.482, 0.038)
Nd (0.281, 0.719, 0.741)
Nd (0.287, 0.373, 0.846)
Nd (0.373, 0.287, 0.346)
Nd (0.482, 0.059, 0.538)
Nd (0.518, 0.941, 0.038)
Nd (0.627, 0.713, 0.846)
Nd (0.713, 0.627, 0.346)
Nd (0.719, 0.281, 0.241)
Nd (0.941, 0.518, 0.538)
Nd (0.964, 0.036, 0.000)
Ho (0.195, 0.805, 0.282)
Ho (0.805, 0.195, 0.782)
Er (0.053, 0.281, 0.423)
Er (0.281, 0.053, 0.923)
Er (0.386, 0.614, 0.311)
Er (0.614, 0.386, 0.811)
Er (0.719, 0.947, 0.423)
Er (0.947, 0.719, 0.923)

#B
VASP calculation (PBE) on a relaxed Nd6HoEr3 crystal.

Results
Volume ... 34.8 Å³/atom
DOS(E_F) ... 1.49 states/eV per atom

a b c (Å): 5.520 10.292 12.469
angles (deg): 90.00 101.00 90.00
Fractional positions:
Nd (0.007, 0.184, 0.005)
Nd (0.007, 0.316, 0.505)
Nd (0.107, 0.004, 0.769)
Nd (0.107, 0.496, 0.269)
Nd (0.420, 0.172, 0.354)
Nd (0.420, 0.328, 0.854)
Nd (0.580, 0.672, 0.146)
Nd (0.580, 0.828, 0.646)
Nd (0.893, 0.504, 0.731)
Nd (0.893, 0.996, 0.231)
Nd (0.993, 0.684, 0.495)
Nd (0.993, 0.816, 0.995)
Ho (0.000, 0.000, 0.500)
Ho (0.000, 0.500, 0.000)
Er (0.422, 0.668, 0.866)
Er (0.422, 0.832, 0.366)
Er (0.500, 0.000, 0.000)
Er (0.500, 0.500, 0.500)
Er (0.578, 0.168, 0.634)
Er (0.578, 0.332, 0.134)

The most stable of them is #A.

#A
VASP calculation (PBE) on a relaxed NdHo8Er6 crystal.

Results
Volume ... 31.6 Å³/atom
DOS(E_F) ... 1.49 states/eV per atom

a b c (Å): 8.556 8.556 8.556
angles (deg): 63.17 63.17 63.17
Fractional positions:
Nd (0.000, 0.000, 0.000)
Ho (0.110, 0.744, 0.720)
Ho (0.256, 0.280, 0.890)
Ho (0.280, 0.890, 0.256)
Ho (0.424, 0.424, 0.424)
Ho (0.576, 0.576, 0.576)
Ho (0.720, 0.110, 0.744)
Ho (0.744, 0.720, 0.110)
Ho (0.890, 0.256, 0.280)
Er (0.108, 0.233, 0.538)
Er (0.233, 0.538, 0.108)
Er (0.462, 0.892, 0.767)
Er (0.538, 0.108, 0.233)
Er (0.767, 0.462, 0.892)
Er (0.892, 0.767, 0.462)

#B
VASP calculation (PBE) on a relaxed NdHo8Er6 crystal.

Results
Volume ... 32.6 Å³/atom
DOS(E_F) ... 1.43 states/eV per atom

a b c (Å): 9.362 9.362 6.441
angles (deg): 90.00 90.00 120.00
Fractional positions:
Nd (0.000, 0.000, 0.000)
Ho (0.025, 0.687, 0.594)
Ho (0.313, 0.338, 0.594)
Ho (0.333, 0.667, 0.332)
Ho (0.338, 0.025, 0.406)
Ho (0.662, 0.975, 0.594)
Ho (0.667, 0.333, 0.668)
Ho (0.687, 0.662, 0.406)
Ho (0.975, 0.313, 0.406)
Er (0.097, 0.417, 0.910)
Er (0.319, 0.903, 0.910)
Er (0.417, 0.319, 0.090)
Er (0.583, 0.681, 0.910)
Er (0.681, 0.097, 0.090)
Er (0.903, 0.583, 0.090)

The most stable of them is #A.

#A
VASP calculation (PBE) on a relaxed Nd5Ho2Er crystal.

Results
Volume ... 33.5 Å³/atom
DOS(E_F) ... 1.46 states/eV per atom

a b c (Å): 7.232 14.473 5.122
angles (deg): 90.00 90.00 90.00
Fractional positions:
Nd (0.000, 0.000, 0.000)
Nd (0.003, 0.252, 0.000)
Nd (0.247, 0.624, 0.500)
Nd (0.253, 0.124, 0.500)
Nd (0.497, 0.752, 0.000)
Nd (0.500, 0.500, 0.000)
Nd (0.503, 0.248, 0.000)
Nd (0.747, 0.876, 0.500)
Nd (0.753, 0.376, 0.500)
Nd (0.997, 0.748, 0.000)
Ho (0.249, 0.876, 0.500)
Ho (0.251, 0.376, 0.500)
Ho (0.749, 0.624, 0.500)
Ho (0.751, 0.124, 0.500)
Er (0.000, 0.500, 0.000)
Er (0.500, 0.000, 0.000)

#B
VASP calculation (PBE) on a relaxed Nd5Ho2Er crystal.

Results
Volume ... 35.6 Å³/atom
DOS(E_F) ... 1.73 states/eV per atom

a b c (Å): 11.582 11.582 6.509
angles (deg): 97.96 97.96 135.46
Fractional positions:
Nd (0.105, 0.323, 0.851)
Nd (0.165, 0.835, 0.750)
Nd (0.236, 0.553, 0.463)
Nd (0.323, 0.105, 0.351)
Nd (0.447, 0.764, 0.037)
Nd (0.553, 0.236, 0.963)
Nd (0.677, 0.895, 0.649)
Nd (0.764, 0.447, 0.537)
Nd (0.835, 0.165, 0.250)
Nd (0.895, 0.677, 0.149)
Ho (0.000, 0.000, 0.000)
Ho (0.000, 0.000, 0.500)
Ho (0.000, 0.500, 0.000)
Ho (0.500, 0.000, 0.500)
Er (0.499, 0.501, 0.750)
Er (0.501, 0.499, 0.250)

The most stable of them is #A.

#A
VASP calculation (PBE) on a relaxed NdHo4Er3 crystal.

Results
Volume ... 31.7 Å³/atom
DOS(E_F) ... 1.60 states/eV per atom

a b c (Å): 11.212 7.240 6.251
angles (deg): 90.00 90.00 90.00
Fractional positions:
Nd (0.000, 0.126, 0.000)
Nd (0.500, 0.874, 0.500)
Ho (0.000, 0.376, 0.501)
Ho (0.000, 0.625, 0.000)
Ho (0.248, 0.624, 0.334)
Ho (0.252, 0.376, 0.834)
Ho (0.500, 0.375, 0.500)
Ho (0.500, 0.624, 0.001)
Ho (0.748, 0.376, 0.834)
Ho (0.752, 0.624, 0.334)
Er (0.000, 0.874, 0.500)
Er (0.250, 0.126, 0.334)
Er (0.250, 0.874, 0.834)
Er (0.500, 0.126, 0.000)
Er (0.750, 0.126, 0.334)
Er (0.750, 0.874, 0.834)

#B
VASP calculation (PBE) on a relaxed NdHo4Er3 crystal.

Results
Volume ... 32.3 Å³/atom
DOS(E_F) ... 1.68 states/eV per atom

a b c (Å): 13.295 13.295 3.538
angles (deg): 90.00 90.00 155.61
Fractional positions:
Nd (0.000, 0.000, 0.000)
Ho (0.105, 0.895, 0.500)
Ho (0.224, 0.776, 0.500)
Ho (0.776, 0.224, 0.500)
Ho (0.895, 0.105, 0.500)
Er (0.344, 0.656, 0.000)
Er (0.500, 0.500, 0.500)
Er (0.656, 0.344, 0.000)

The most stable of them is #A.

#A
VASP calculation (PBE) on a relaxed Nd4HoEr2 crystal.

Results
Volume ... 33.6 Å³/atom
DOS(E_F) ... 1.45 states/eV per atom

a b c (Å): 12.557 6.807 13.532
angles (deg): 67.07 29.95 82.98
Fractional positions:
Nd (0.145, 0.293, 0.068)
Nd (0.182, 0.756, 0.105)
Nd (0.293, 0.145, 0.494)
Nd (0.378, 0.622, 0.482)
Nd (0.622, 0.378, 0.518)
Nd (0.732, 0.768, 0.628)
Nd (0.756, 0.182, 0.957)
Nd (0.768, 0.732, 0.872)
Ho (0.005, 0.005, 0.995)
Ho (0.255, 0.255, 0.245)
Er (0.204, 0.685, 0.364)
Er (0.503, 0.886, 0.565)
Er (0.685, 0.204, 0.747)
Er (0.886, 0.503, 0.046)

#B
VASP calculation (PBE) on a relaxed Nd4HoEr2 crystal.

Results
Volume ... 34.1 Å³/atom
DOS(E_F) ... 1.43 states/eV per atom

a b c (Å): 9.018 9.018 9.018
angles (deg): 135.17 101.42 95.33
Fractional positions:
Nd (0.153, 0.149, 0.004)
Nd (0.240, 0.211, 0.471)
Nd (0.240, 0.770, 0.029)
Nd (0.356, 0.851, 0.504)
Nd (0.644, 0.149, 0.496)
Nd (0.760, 0.230, 0.971)
Nd (0.760, 0.789, 0.529)
Nd (0.847, 0.851, 0.996)
Ho (0.500, 0.000, 0.000)
Ho (0.500, 0.500, 0.500)
Er (0.000, 0.500, 0.500)
Er (0.033, 0.283, 0.750)
Er (0.500, 0.500, 0.000)
Er (0.967, 0.717, 0.250)

The most stable of them is #A.

#A
VASP calculation (PBE) on a relaxed NdHo2Er8 crystal.

Results
Volume ... 31.0 Å³/atom
DOS(E_F) ... 1.31 states/eV per atom

a b c (Å): 9.329 9.329 7.884
angles (deg): 104.70 104.70 30.96
Fractional positions:
Nd (0.000, 0.000, 0.000)
Ho (0.272, 0.272, 0.363)
Ho (0.728, 0.728, 0.637)
Er (0.091, 0.091, 0.457)
Er (0.182, 0.182, 0.908)
Er (0.363, 0.363, 0.817)
Er (0.454, 0.454, 0.274)
Er (0.546, 0.546, 0.726)
Er (0.637, 0.637, 0.183)
Er (0.818, 0.818, 0.092)
Er (0.909, 0.909, 0.543)

#B
VASP calculation (PBE) on a relaxed NdHo2Er8 crystal.

Results
Volume ... 31.6 Å³/atom
DOS(E_F) ... 1.34 states/eV per atom

a b c (Å): 9.305 9.305 9.305
angles (deg): 146.00 128.75 62.93
Fractional positions:
Nd (0.000, 0.000, 0.000)
Ho (0.300, 0.300, 0.000)
Ho (0.700, 0.700, 0.000)
Er (0.153, 0.860, 0.293)
Er (0.163, 0.663, 0.500)
Er (0.295, 0.500, 0.795)
Er (0.433, 0.140, 0.293)
Er (0.567, 0.860, 0.707)
Er (0.705, 0.500, 0.205)
Er (0.837, 0.337, 0.500)
Er (0.847, 0.140, 0.707)

The most stable of them is #A.